Entry 1:
Mg3OsPd: relaxed, GGA-PBE.

Properties
SG = Pm-3m, No. 221
Formation energy = 0.709 eV/atom
DOS(E_F) = 2.49 states/eV/f.u.
Energy above the lowest structure with this stoichiometry = 0 meV/atom

Cell and atoms, written as extended XYZ:
```
5
Lattice="4.888 0.000 0.000 0.000 4.888 0.000 0.000 0.000 4.888" Properties=species:S:1:pos:R:3 pbc="T T T"
Mg 2.444 0.000 0.000
Mg 0.000 2.444 0.000
Mg 0.000 0.000 2.444
Pd 2.444 2.444 2.444
Os 0.000 0.000 0.000
```

***

Entry 2:
Li2AcGaS4: relaxed, GGA-PBE.

Properties
SG = P1, No. 1
Energy relative to the elements, uncorrected = -129.88 kJ per mole of atoms
DOS(E_F) = 0.00 states/eV/f.u.

Cell and atoms, written as extended XYZ:
```
16
Lattice="8.631 0.414 -0.060 0.408 7.154 -1.578 -4.483 -4.888 6.865" Properties=species:S:1:pos:R:3 pbc="T T T"
Li 3.907 -0.441 0.931
Li 4.436 4.495 0.920
Li -0.247 -2.394 5.897
Li -1.489 -1.628 3.521
S 2.396 1.395 0.234
S 6.229 2.701 0.321
S 1.628 1.145 4.365
S -0.343 -0.596 1.630
S 0.266 3.569 2.220
S 4.059 3.342 3.122
S -1.378 -0.265 5.671
S 4.883 -0.484 3.084
Ga 2.088 2.186 2.347
Ga 2.536 -4.291 6.749
Ac -1.843 1.515 3.298
Ac -4.201 -1.271 6.011
```

***

Entry 3:
KRb2BeAs2: relaxed, GGA-PBE.

Properties
SG = Ibam, No. 72
Formation energy = -0.241 eV/atom
DOS(E_F) = 2.02 states/eV/f.u.

Cell and atoms, written as extended XYZ:
```
12
Lattice="7.315 0.000 0.000 0.000 7.742 0.000 -3.657 -3.871 7.201" Properties=species:S:1:pos:R:3 pbc="T T T"
Be 5.486 3.871 0.000
Be 1.829 3.871 0.000
Rb 0.000 -1.633 4.564
Rb 3.657 1.633 4.564
Rb 3.657 5.504 2.638
Rb 0.000 2.238 2.638
K 1.829 0.000 0.000
K 5.486 0.000 0.000
As 0.000 1.168 6.324
As 3.657 -1.168 6.324
As 0.000 5.039 0.878
As 3.657 2.703 0.878
```

***

Entry 4:
V2HN: relaxed, GGA-PBE.

Properties
SG = I4_1/amd, No. 141
DOS(E_F) = 2.05 states/eV/f.u.
Energy above the lowest structure with this stoichiometry = 0 meV/atom

Cell and atoms, written as extended XYZ:
```
8
Lattice="-2.228 2.814 -1.897 -3.072 -0.705 2.559 -1.232 3.841 2.800" Properties=species:S:1:pos:R:3 pbc="T T T"
V -3.464 4.385 1.882
V -3.068 1.566 1.580
V -3.895 2.607 4.094
V -2.637 3.344 -0.632
N -1.528 1.927 0.309
N -5.005 4.023 3.154
H -4.178 2.982 0.641
H -2.355 2.969 2.822
```

***

Entry 5:
Zr2AlPt: relaxed, GGA-PBE.

Properties
SG = R3m, No. 160
Formation energy = -0.372 eV/atom
DOS(E_F) = 2.52 states/eV/f.u.

Cell and atoms, written as extended XYZ:
```
4
Lattice="8.897 0.009 0.005 8.290 3.229 0.005 8.290 1.562 2.826" Properties=species:S:1:pos:R:3 pbc="T T T"
Pt 19.261 3.629 2.145
Zr 0.196 0.037 0.022
Zr 6.294 1.186 0.701
Al 12.464 2.348 1.388
```

***

Entry 6:
U2CS2: relaxed, GGA-PBE.

Properties
SG = Cmc2_1, No. 36
Energy relative to the elements, uncorrected = -88.23 kJ per mole of atoms
DOS(E_F) = 8.93 states/eV/f.u.

Cell and atoms, written as extended XYZ:
```
10
Lattice="3.845 0.000 0.000 0.000 6.852 0.000 -1.923 0.000 7.288" Properties=species:S:1:pos:R:3 pbc="T T T"
S 0.000 6.193 2.924
S 1.923 4.942 6.586
S 1.923 2.767 4.364
S 0.000 1.516 0.702
C 1.923 3.987 1.416
C 0.000 0.561 5.873
U 1.923 6.271 0.747
U 1.923 0.085 4.823
U 0.000 3.511 2.465
U 0.000 2.844 6.541
```

***

Entry 7:
GaHgRu2Pt: relaxed, GGA-PBE.

Properties
SG = P4/mmm, No. 123
Formation energy = 1.918 eV/atom
DOS(E_F) = 8.23 states/eV/f.u.

Cell and atoms, written as extended XYZ:
```
5
Lattice="5.014 0.000 0.000 0.000 5.021 0.000 0.000 0.000 5.014" Properties=species:S:1:pos:R:3 pbc="T T T"
Ru 2.507 0.000 0.000
Ru 0.000 0.000 2.507
Ga 2.507 2.510 2.507
Pt 0.000 2.510 0.000
Hg 0.000 0.000 0.000
```

***

Entry 8:
ZnP2W: relaxed, GGA-PBE.

Properties
SG = Cmm2, No. 35
Formation energy = 0.365 eV/atom
DOS(E_F) = 1.80 states/eV/f.u.

Cell and atoms, written as extended XYZ:
```
4
Lattice="2.770 -0.009 0.000 -0.858 2.634 0.000 0.000 0.000 9.564" Properties=species:S:1:pos:R:3 pbc="T T T"
W 0.000 0.000 4.846
P 0.000 0.000 8.973
P 0.956 1.312 3.019
Zn 0.956 1.312 7.073
```

***

Entry 9:
ThH6Pd8: relaxed, GGA-PBE.

Properties
SG = R-3, No. 148
DOS(E_F) = 4.19 states/eV/f.u.

Cell and atoms, written as extended XYZ:
```
15
Lattice="-4.264 0.975 3.479 -3.082 -0.161 -4.659 0.137 -5.530 0.792" Properties=species:S:1:pos:R:3 pbc="T T T"
H -5.586 -1.396 -0.363
H -1.623 -3.321 -0.026
H -3.051 -0.988 -1.837
H -4.157 -3.728 1.448
H -3.286 -0.899 1.434
H -3.923 -3.817 -1.822
Pd -2.260 -3.851 1.758
Pd -4.948 -0.865 -2.146
Pd -4.790 -3.134 -0.258
Pd -4.764 0.073 0.574
Pd -2.418 -1.582 -0.130
Pd -2.798 -2.648 -2.861
Pd -2.444 -4.789 -0.962
Pd -4.410 -2.068 2.473
Th 0.000 0.000 0.000
```

***

Entry 10:
RbAl4Te7: relaxed, GGA-PBE.

Properties
SG = Pmn2_1, No. 31
Energy relative to the elements, uncorrected = -48.66 kJ per mole of atoms
DOS(E_F) = 11.34 states/eV/f.u.

Cell and atoms, written as extended XYZ:
```
24
Lattice="-3.161 -5.963 1.552 2.644 -2.961 -5.994 13.778 -5.070 8.580" Properties=species:S:1:pos:R:3 pbc="T T T"
Te 4.024 -9.741 0.767
Te 10.929 -9.036 2.190
Te 4.201 -6.561 -2.000
Te 4.238 -8.696 4.906
Te 0.287 -8.454 -1.547
Te 0.802 -5.276 -4.405
Te 11.568 -8.259 6.378
Te 0.754 -7.572 2.544
Te 7.814 -6.951 4.106
Te 7.185 -10.905 2.736
Te 10.869 -12.347 5.043
Te 0.952 -4.353 -0.233
Te 7.804 -10.166 6.934
Te 4.617 -5.775 2.115
Al 9.111 -4.745 3.506
Al 2.061 -5.269 1.952
Al 5.767 -3.514 1.423
Al 1.534 -6.191 -2.032
Al 8.991 -7.818 6.268
Al 5.370 -4.192 -2.625
Al 12.218 -6.712 1.640
Al 11.969 -10.030 4.466
Rb 7.599 -7.784 0.048
Rb -2.609 -6.283 0.478
```

***

Entry 11:
Ca3RhAu: relaxed, GGA-PBE.

Properties
SG = Pm-3m, No. 221
Formation energy = -0.272 eV/atom
DOS(E_F) = 3.11 states/eV/f.u.
Energy above the lowest structure with this stoichiometry = 256 meV/atom

Cell and atoms, written as extended XYZ:
```
5
Lattice="5.357 0.000 0.000 0.000 5.357 0.000 0.000 0.000 5.357" Properties=species:S:1:pos:R:3 pbc="T T T"
Au 2.678 2.678 2.678
Ca 2.678 0.000 0.000
Ca 0.000 2.678 0.000
Ca 0.000 0.000 2.678
Rh 0.000 0.000 0.000
```

***

Entry 12:
Be6Cr: relaxed, GGA-PBE.

Properties
SG = Pnma, No. 62
Formation energy = -0.040 eV/atom
DOS(E_F) = 0.76 states/eV/f.u.

Cell and atoms, written as extended XYZ:
```
28
Lattice="-2.101 -3.536 -0.479 5.882 -3.419 -0.563 0.106 -1.196 8.361" Properties=species:S:1:pos:R:3 pbc="T T T"
Cr -0.003 -4.624 7.291
Cr 0.987 -2.253 3.351
Cr 2.900 -5.898 3.968
Cr 3.889 -3.527 0.028
Be 4.526 -5.330 1.793
Be -0.145 -2.141 7.487
Be 1.573 -3.487 1.136
Be 1.331 -2.817 6.004
Be 4.032 -6.010 -0.168
Be 1.286 -6.393 5.948
Be 1.985 -3.457 7.863
Be 4.877 -4.611 3.696
Be -0.385 -3.631 1.643
Be 4.271 -4.520 5.676
Be 2.313 -4.664 6.183
Be 2.600 -1.758 1.370
Be -1.667 -4.549 5.291
Be 1.901 -4.694 -0.545
Be 0.377 -1.575 1.023
Be 1.125 -4.691 2.839
Be -0.640 -2.821 5.526
Be 3.510 -6.576 6.295
Be -0.990 -3.540 3.622
Be 5.553 -3.602 2.027
Be 2.556 -5.334 1.314
Be 2.761 -3.460 4.479
Be 3.339 -3.531 2.466
Be 0.547 -4.620 4.852
```

***

Entry 13:
Pm4HoErTm2: relaxed, GGA-PBE.

Properties
SG = Pmmm, No. 47
Formation energy = 0.019 eV/atom
DOS(E_F) = 10.94 states/eV/f.u.

Cell and atoms, written as extended XYZ:
```
8
Lattice="-0.055 1.701 -4.803 -2.638 -4.098 -1.421 -11.160 0.756 0.394" Properties=species:S:1:pos:R:3 pbc="T T T"
Pm -10.348 -2.509 -0.771
Pm -3.505 0.867 -5.059
Pm -4.799 -2.031 -3.368
Pm -9.054 0.389 -2.462
Tm -5.607 1.228 -2.204
Tm -11.160 0.756 0.394
Ho -12.506 -0.443 -2.718
Er -6.899 -1.671 -0.514
```

***

Entry 14:
Li2Ga2Au3: relaxed, GGA-PBE.

Properties
SG = P-1, No. 2
Formation energy = -0.417 eV/atom
DOS(E_F) = 1.31 states/eV/f.u.
Energy above the lowest structure with this stoichiometry = 0 meV/atom

Cell and atoms, written as extended XYZ:
```
7
Lattice="4.306 -0.059 -1.278 -2.377 3.910 -0.003 -0.372 -0.224 7.447" Properties=species:S:1:pos:R:3 pbc="T T T"
Li -0.856 2.155 6.136
Li 2.414 1.472 0.030
Au 1.059 0.636 4.957
Au 0.498 2.990 1.210
Au 0.000 0.000 0.000
Ga 0.863 0.536 2.385
Ga 0.695 3.090 3.781
```

***

Entry 15:
NdEr3Rh: relaxed, GGA-PBE.

Properties
SG = Pmn2_1, No. 31
Formation energy = -0.308 eV/atom
DOS(E_F) = 5.96 states/eV/f.u.
Energy above the lowest structure with this stoichiometry = 0 meV/atom

Cell and atoms, written as extended XYZ:
```
10
Lattice="6.160 0.001 0.000 0.001 6.508 -0.001 0.000 0.001 7.532" Properties=species:S:1:pos:R:3 pbc="T T T"
Nd 2.674 2.090 5.278
Nd 5.753 0.207 1.511
Er 5.642 0.153 5.277
Er 2.631 5.583 3.377
Er 5.710 3.222 3.412
Er 2.563 2.145 1.512
Er 5.710 3.223 7.143
Er 2.631 5.584 7.176
Rh 1.074 4.463 5.277
Rh 4.154 4.342 1.511
```

***

Entry 16:
Mn3InSi: relaxed, GGA-PBE.

Properties
SG = Pm-3m, No. 221
Energy relative to the elements, uncorrected = 39.76 kJ per mole of atoms
DOS(E_F) = 3.58 states/eV/f.u.
Energy above the lowest structure with this stoichiometry = 0 meV/atom

Cell and atoms, written as extended XYZ:
```
5
Lattice="4.459 0.000 0.000 0.000 4.459 0.000 0.000 0.000 4.459" Properties=species:S:1:pos:R:3 pbc="T T T"
Mn 2.229 0.000 0.000
Mn 0.000 2.229 0.000
Mn 0.000 0.000 2.229
In 2.229 2.229 2.229
Si 0.000 0.000 0.000
```

***

Entry 17:
GaCu2S3: relaxed, GGA-PBE.

Properties
SG = Imm2, No. 44
Energy relative to the elements, uncorrected = -45.00 kJ per mole of atoms
DOS(E_F) = 3.32 states/eV/f.u.

Cell and atoms, written as extended XYZ:
```
6
Lattice="-0.692 -3.632 0.249 4.914 -0.798 2.016 -4.127 2.956 4.076" Properties=species:S:1:pos:R:3 pbc="T T T"
Ga 0.939 -2.025 0.652
Cu 2.972 -0.343 3.262
Cu -0.482 -1.520 4.061
S 4.890 -0.794 2.006
S 1.426 -1.964 2.895
S -1.336 0.491 3.444
```

***

Entry 18:
NaH12Pd6: relaxed, GGA-PBE.

Properties
SG = R-3m, No. 166
DOS(E_F) = 1.30 states/eV/f.u.

Cell and atoms, written as extended XYZ:
```
19
Lattice="5.700 -0.025 -0.035 -1.437 5.516 -0.035 -1.437 -1.851 5.196" Properties=species:S:1:pos:R:3 pbc="T T T"
H 1.413 -0.967 4.541
H -1.287 3.915 2.563
H -1.287 1.129 4.541
H 1.077 3.408 2.659
H 4.112 -0.276 2.563
H 3.034 1.888 2.659
H -0.209 1.752 2.467
H 4.112 2.511 0.584
H 1.077 1.387 4.093
H 1.749 2.252 1.032
H 1.749 0.232 2.467
H 1.413 4.606 0.584
Pd 2.759 0.623 3.981
Pd 0.067 0.086 3.226
Pd 2.906 0.813 1.145
Pd 2.759 3.553 1.900
Pd -0.081 2.827 3.981
Pd 0.067 3.017 1.145
Na 0.000 0.000 0.000
```

***

Entry 19:
MnCu: relaxed, GGA-PBE.

Properties
SG = P4/mnc, No. 128
Formation energy = 0.463 eV/atom
DOS(E_F) = 2.51 states/eV/f.u.

Cell and atoms, written as extended XYZ:
```
16
Lattice="-0.169 4.210 -6.147 2.415 -5.785 -4.029 -3.501 -1.035 -0.612" Properties=species:S:1:pos:R:3 pbc="T T T"
Mn 1.108 -2.089 -2.805
Mn -0.348 -0.189 -8.878
Mn 0.269 1.374 -3.861
Mn 0.531 -4.646 -6.371
Mn 1.138 0.514 -7.371
Mn -0.907 -2.421 -1.911
Mn 1.976 -2.950 -6.315
Mn -1.786 2.036 -4.417
Cu 0.301 2.534 -6.002
Cu 1.928 -1.516 -8.459
Cu -0.206 -1.764 -7.026
Cu 0.318 -0.059 -1.716
Cu -0.247 -2.918 -4.842
Cu 1.945 -4.110 -4.174
Cu -1.049 -0.846 -3.762
Cu -1.008 0.308 -5.946
```

***

Entry 20:
TlCoTc2: relaxed, GGA-PBE.

Properties
SG = Pmmm, No. 47
Formation energy = 0.647 eV/atom
DOS(E_F) = 4.35 states/eV/f.u.
Energy above the lowest structure with this stoichiometry = 240 meV/atom

Cell and atoms, written as extended XYZ:
```
4
Lattice="3.244 0.000 0.000 0.000 4.172 0.000 0.000 0.000 4.586" Properties=species:S:1:pos:R:3 pbc="T T T"
Tc 0.000 0.000 0.000
Tc 1.622 2.086 0.000
Co 0.000 2.086 2.293
Tl 1.622 0.000 2.293
```

***

Entry 21:
Sc3TlIr: relaxed, GGA-PBE.

Properties
SG = Pm-3m, No. 221
Formation energy = -0.301 eV/atom
DOS(E_F) = 5.51 states/eV/f.u.
Energy above the lowest structure with this stoichiometry = 155 meV/atom

Cell and atoms, written as extended XYZ:
```
5
Lattice="5.052 0.000 0.000 0.000 5.052 0.000 0.000 0.000 5.052" Properties=species:S:1:pos:R:3 pbc="T T T"
Sc 2.526 0.000 0.000
Sc 0.000 0.000 2.526
Sc 0.000 2.526 0.000
Ir 0.000 0.000 0.000
Tl 2.526 2.526 2.526
```

***

Entry 22:
La2PdN: relaxed, GGA-PBE.

Properties
SG = Cmcm, No. 63
Energy relative to the elements, uncorrected = -99.25 kJ per mole of atoms
DOS(E_F) = 1.96 states/eV/f.u.

Cell and atoms, written as extended XYZ:
```
8
Lattice="-3.255 -2.025 0.997 0.835 -2.689 -2.735 5.586 -4.551 8.997" Properties=species:S:1:pos:R:3 pbc="T T T"
Pd -1.507 -3.370 0.037
Pd 4.673 -5.894 7.222
La 2.807 -4.062 4.851
La 0.359 -5.202 2.408
La 2.952 -7.749 5.704
La 0.214 -1.515 1.556
N 1.522 -2.800 3.218
N 1.644 -6.465 4.042
```

***

DFT total energy values (in eV/atom) by entry order: -3.53, -4.78, -2.92, -8.25, -7.09, -8.93, -3.67, -5.90, -4.92, -3.67, -3.60, -4.61, -4.62, -3.23, -5.47, -6.72, -4.40, -3.85, -6.17, -6.90, -6.34, -6.87.